(1)
Here is an optimized crystal structure of LiEuY from Alexandria via LeMat-Bulk. Energies are from PBE.

The calculated formation energy comes out at 151.0 meV per atom. The energy above the lowest structure with this stoichiometry comes out at 34 meV/atom.

The space group is P3m1 (No. 156) and the conventional cell measures 3.6040, 3.6040 and 8.5841 Å, with angles of 90.00, 90.00 and 120.00 degrees. The asymmetric unit holds Li at (0.0000, 0.0000, 0.0000), Eu at (0.6667, 0.3333, 0.3356) and Y at (0.3333, 0.6667, 0.6902).

=====

(2)
Here is an optimized crystal structure of NdGdInPb from Alexandria via LeMat-Bulk. Energies are from PBE.

The calculated formation energy comes out at -451.3 meV per atom.

The space group is F-43m (No. 216) and the conventional cell measures 7.761, 7.761 and 7.761 Å, with angles of 90.00, 90.00 and 90.00 degrees. The asymmetric unit holds Nd at (0.000, 0.000, 0.000), Gd at (0.000, 0.000, 0.500), In at (0.250, 0.250, 0.750) and Pb at (0.250, 0.250, 0.250).

=====

| no. | total moment (μB/atom) |
| --- | --- |
| 1 | 2.559 |
| 2 | 1.796 |